1.
Here is a geometry-optimized Ir3WCl structure from Alexandria. Energies are from GGA-PBE.

Unit cell a=4.805 b=4.805 c=4.805 alpha=90.00 beta=90.00 gamma=90.00
Positions (direct):
Ir (0.000, 0.000, 0.500)
Ir (0.000, 0.500, 0.000)
Ir (0.500, 0.000, 0.000)
W (0.000, 0.000, 0.000)
Cl (0.500, 0.500, 0.500)

## Properties
ρ = 11.91 Mg/m³
Formation energy without anion corrections = 9.423 eV/f.u.
Energy above the lowest structure with this stoichiometry = 55 meV/atom
Energy = -6.3920 eV per atom
SG = Pm-3m (221)

=====

2.
Here is a geometry-optimized Ir2WCl structure from Alexandria. Energies are from GGA-PBE.

Unit cell a=9.182 b=9.182 c=9.182 alpha=17.85 beta=17.85 gamma=17.85
Positions (direct):
Ir (0.245, 0.245, 0.245)
Ir (0.755, 0.755, 0.755)
W (0.500, 0.500, 0.500)
Cl (0.000, 0.000, 0.000)

## Properties
ρ = 15.78 Mg/m³
Formation energy without anion corrections = 0.951 eV/f.u.
Energy above the lowest structure with this stoichiometry = 32 meV/atom
Energy = -7.8927 eV per atom
SG = R-3m (166)

=====

3.
Here is a geometry-optimized Ir2WCl structure from Alexandria. Energies are from GGA-PBE.

Unit cell a=2.861 b=2.861 c=7.844 alpha=90.00 beta=90.00 gamma=90.00
Positions (direct):
Ir (0.000, 0.000, 0.229)
Ir (0.000, 0.000, 0.771)
W (0.500, 0.500, 0.000)
Cl (0.500, 0.500, 0.500)

## Properties
ρ = 15.62 Mg/m³
Formation energy without anion corrections = 0.821 eV/f.u.
Energy above the lowest structure with this stoichiometry = 0 meV/atom
Energy = -7.9251 eV per atom
SG = P4/mmm (123)

=====

4.
Here is a geometry-optimized Ir2WCl structure from Alexandria. Energies are from GGA-PBE.

Unit cell a=2.806 b=4.629 c=4.738 alpha=90.00 beta=90.00 gamma=90.00
Positions (direct):
Ir (0.000, 0.000, 0.000)
Ir (0.500, 0.500, 0.000)
W (0.000, 0.500, 0.500)
Cl (0.500, 0.000, 0.500)

## Properties
ρ = 16.29 Mg/m³
Formation energy without anion corrections = 3.253 eV/f.u.
Energy above the lowest structure with this stoichiometry = 608 meV/atom
Energy = -7.3171 eV per atom
SG = Pmmm (47)

=====

5.
Here is a geometry-optimized IrW2Cl structure from Alexandria. Energies are from GGA-PBE.

Unit cell a=8.885 b=8.885 c=8.885 alpha=18.50 beta=18.50 gamma=18.50
Positions (direct):
Ir (0.000, 0.000, 0.000)
W (0.249, 0.249, 0.249)
W (0.751, 0.751, 0.751)
Cl (0.500, 0.500, 0.500)

## Properties
ρ = 16.02 Mg/m³
Formation energy without anion corrections = 1.219 eV/f.u.
Energy above the lowest structure with this stoichiometry = 99 meV/atom
Energy = -8.8487 eV per atom
SG = R-3m (166)

=====

6.
Here is a geometry-optimized IrW2Cl structure from Alexandria. Energies are from GGA-PBE.

Unit cell a=6.618 b=6.618 c=6.618 alpha=129.29 beta=129.29 gamma=74.55
Positions (direct):
Ir (0.000, 0.000, 0.000)
Ir (0.750, 0.250, 0.500)
W (0.132, 0.625, 0.007)
W (0.375, 0.382, 0.507)
W (0.618, 0.125, 0.993)
W (0.875, 0.868, 0.493)
Cl (0.250, 0.750, 0.500)
Cl (0.500, 0.500, 0.000)

## Properties
ρ = 11.69 Mg/m³
Formation energy without anion corrections = 4.811 eV/f.u.
Energy above the lowest structure with this stoichiometry = 997 meV/atom
Energy = -7.9507 eV per atom
SG = I-42d (122)

=====

7.
Here is a geometry-optimized Ir2WCl structure from Alexandria. Energies are from GGA-PBE.

Unit cell a=4.480 b=4.480 c=4.480 alpha=60.00 beta=60.00 gamma=60.00
Positions (direct):
Ir (0.250, 0.250, 0.250)
Ir (0.750, 0.750, 0.750)
W (0.000, 0.000, 0.000)
Cl (0.500, 0.500, 0.500)

## Properties
ρ = 15.77 Mg/m³
Formation energy without anion corrections = 3.748 eV/f.u.
Energy above the lowest structure with this stoichiometry = 732 meV/atom
Energy = -7.1935 eV per atom
SG = Fm-3m (225)

=====

8.
Here is a geometry-optimized Ir2WCl structure from Alexandria. Energies are from GGA-PBE.

Unit cell a=2.812 b=3.663 c=7.268 alpha=90.00 beta=90.00 gamma=90.00
Positions (direct):
Ir (0.000, 0.000, 0.000)
Ir (0.500, 0.500, 0.181)
W (0.500, 0.500, 0.815)
Cl (0.500, 0.000, 0.570)

## Properties
ρ = 13.39 Mg/m³
Formation energy without anion corrections = 1.618 eV/f.u.
Energy above the lowest structure with this stoichiometry = 199 meV/atom
Energy = -7.7259 eV per atom
SG = Pmm2 (25)

=====

9.
Here is a geometry-optimized Ir3WCl structure from Alexandria. Energies are from GGA-PBE.

Unit cell a=4.392 b=4.392 c=4.392 alpha=90.00 beta=90.00 gamma=90.00
Positions (direct):
Ir (0.000, 0.000, 0.500)
Ir (0.000, 0.500, 0.000)
Ir (0.500, 0.000, 0.000)
W (0.500, 0.500, 0.500)
Cl (0.000, 0.000, 0.000)

## Properties
ρ = 15.60 Mg/m³
Formation energy without anion corrections = 9.146 eV/f.u.
Energy above the lowest structure with this stoichiometry = 0 meV/atom
Energy = -6.4474 eV per atom
SG = Pm-3m (221)

=====

10.
Here is a geometry-optimized IrW2Cl structure from Alexandria. Energies are from GGA-PBE.

Unit cell a=4.246 b=4.246 c=5.740 alpha=98.27 beta=98.27 gamma=38.39
Positions (direct):
Ir (0.000, 0.000, 0.000)
W (0.251, 0.251, 0.743)
W (0.749, 0.749, 0.257)
Cl (0.500, 0.500, 0.500)

## Properties
ρ = 15.57 Mg/m³
Formation energy without anion corrections = 2.515 eV/f.u.
Energy above the lowest structure with this stoichiometry = 422 meV/atom
Energy = -8.5249 eV per atom
SG = C2/m (12)

=====

11.
Here is a geometry-optimized Ir2WCl structure from Alexandria. Energies are from GGA-PBE.

Unit cell a=4.799 b=4.799 c=2.764 alpha=90.00 beta=90.00 gamma=90.00
Positions (direct):
Ir (0.000, 0.500, 0.000)
Ir (0.500, 0.000, 0.000)
W (0.000, 0.000, 0.500)
Cl (0.500, 0.500, 0.500)

## Properties
ρ = 15.75 Mg/m³
Formation energy without anion corrections = 3.818 eV/f.u.
Energy above the lowest structure with this stoichiometry = 749 meV/atom
Energy = -7.1760 eV per atom
SG = P4/mmm (123)

=====

12.
Here is a geometry-optimized Ir4WCl structure from Alexandria. Energies are from GGA-PBE.

Unit cell a=5.190 b=5.190 c=5.190 alpha=60.00 beta=60.00 gamma=60.00
Positions (direct):
Ir (0.125, 0.125, 0.125)
Ir (0.125, 0.125, 0.625)
Ir (0.125, 0.625, 0.125)
Ir (0.625, 0.125, 0.125)
W (0.750, 0.750, 0.750)
Cl (0.500, 0.500, 0.500)

## Properties
ρ = 16.60 Mg/m³
Formation energy without anion corrections = 5.350 eV/f.u.
Energy = -7.4823 eV per atom
SG = F-43m (216)

=====

13.
Here is a geometry-optimized IrWCl3 structure from Alexandria. Energies are from GGA-PBE.

Unit cell a=4.815 b=4.815 c=4.815 alpha=90.00 beta=90.00 gamma=90.00
Positions (direct):
Ir (0.000, 0.000, 0.000)
W (0.500, 0.500, 0.500)
Cl (0.000, 0.500, 0.500)
Cl (0.500, 0.000, 0.500)
Cl (0.500, 0.500, 0.000)

## Properties
ρ = 7.18 Mg/m³
Formation energy without anion corrections = 5.852 eV/f.u.
Energy above the lowest structure with this stoichiometry = 0 meV/atom
Energy = -4.3004 eV per atom
SG = Pm-3m (221)

=====

14.
Here is a geometry-optimized Ir2WCl structure from Alexandria. Energies are from GGA-PBE.

Unit cell a=4.902 b=4.902 c=2.779 alpha=90.00 beta=90.00 gamma=111.15
Positions (direct):
Ir (0.000, 0.500, 0.000)
Ir (0.500, 0.000, 0.000)
W (0.000, 0.000, 0.500)
Cl (0.500, 0.500, 0.500)

## Properties
ρ = 16.10 Mg/m³
Formation energy without anion corrections = 3.583 eV/f.u.
Energy above the lowest structure with this stoichiometry = 690 meV/atom
Energy = -7.2347 eV per atom
SG = Cmmm (65)

=====

15.
Here is a geometry-optimized Ir2WCl structure from Alexandria. Energies are from GGA-PBE.

Unit cell a=2.822 b=4.154 c=5.322 alpha=90.00 beta=103.34 gamma=90.00
Positions (direct):
Ir (0.123, 0.000, 0.250)
Ir (0.877, 0.000, 0.750)
W (0.500, 0.500, 0.000)
Cl (0.500, 0.500, 0.500)

## Properties
ρ = 16.52 Mg/m³
Formation energy without anion corrections = 1.991 eV/f.u.
Energy above the lowest structure with this stoichiometry = 292 meV/atom
Energy = -7.6328 eV per atom
SG = P2/m (10)